No. 1
Density functional theory data (GGA-PBEsol) for crystalline PBr2 at its relaxed geometry.

a = 6.775 Å, b = 12.843 Å, c = 4.444 Å
α = 90.00°, β = 90.00°, γ = 90.00°
Space group Fmm2 (No. 42)
Symmetry-distinct sites (fractional):
P1 0.000 0.000 0.000 (multiplicity 4)
Br1 0.000 0.136 0.311 (multiplicity 8)

Calculated values
Energy relative to the elements, uncorrected   68.4 meV/atom
Total moment   1.0 μB per formula unit
Raw total energy   -3.11 eV per atom
Mass density   3.28 Mg/m³

=====

No. 2
Density functional theory data (GGA-PBEsol) for crystalline NiAg4As at its relaxed geometry.

a = 7.463 Å, b = 7.463 Å, c = 7.463 Å
α = 90.00°, β = 90.00°, γ = 90.00°
Space group F-43m (No. 216)
Symmetry-distinct sites (fractional):
Ni1 0.000 0.000 0.000 (multiplicity 4)
Ag1 0.125 0.125 0.375 (multiplicity 16)
As1 0.250 0.250 0.750 (multiplicity 4)

Calculated values
Total moment   0.0 μB per formula unit
Raw total energy   -3.59 eV per atom
Mass density   9.03 Mg/m³

=====

No. 3
Density functional theory data (GGA-PBEsol) for crystalline SrInRu2 at its relaxed geometry.

a = 3.0044 Å, b = 3.0044 Å, c = 29.1513 Å
α = 90.00°, β = 90.00°, γ = 120.00°
Space group R3m (No. 160, hexagonal axes)
Symmetry-distinct sites (fractional):
Sr1 0.0000 0.0000 0.0000 (multiplicity 3)
In1 0.0000 0.0000 0.2310 (multiplicity 3)
Ru1 0.0000 0.0000 0.4869 (multiplicity 3)
Ru2 0.0000 0.0000 0.7553 (multiplicity 3)

Calculated values
Total moment   0.0 μB per formula unit
Raw total energy   -5.62 eV per atom
Mass density   8.84 Mg/m³

=====

No. 4
Density functional theory data (GGA-PBEsol) for crystalline RbBaSn2N at its relaxed geometry.

a = 5.002 Å, b = 5.002 Å, c = 5.506 Å
α = 90.00°, β = 90.00°, γ = 90.00°
Space group P4/mmm (No. 123)
Symmetry-distinct sites (fractional):
Rb1 0.000 0.000 0.000 (multiplicity 1)
Ba1 0.500 0.500 0.000 (multiplicity 1)
Sn1 0.000 0.500 0.500 (multiplicity 2)
N1 0.500 0.500 0.500 (multiplicity 1)

Calculated values
Energy relative to the elements, uncorrected   115.1 meV/atom
Total moment   0.3 μB per formula unit
Raw total energy   -3.93 eV per atom
Mass density   5.72 Mg/m³

=====

No. 5
Density functional theory data (GGA-PBEsol) for crystalline LiSc2Mn at its relaxed geometry.

a = 2.9975 Å, b = 2.9975 Å, c = 30.4145 Å
α = 90.00°, β = 90.00°, γ = 120.00°
Space group R-3m (No. 166, hexagonal axes)
Symmetry-distinct sites (fractional):
Li1 0.0000 0.0000 0.0000 (multiplicity 3)
Sc1 0.0000 0.0000 0.4210 (multiplicity 6)
Mn1 0.0000 0.0000 0.5000 (multiplicity 3)

Calculated values
Total moment   2.6 μB per formula unit
Raw total energy   -5.68 eV per atom
Mass density   3.20 Mg/m³

=====

No. 6
Density functional theory data (GGA-PBEsol) for crystalline CdCoN2 at its relaxed geometry.

a = 4.826 Å, b = 4.826 Å, c = 8.318 Å
α = 90.00°, β = 90.00°, γ = 90.00°
Space group I-42d (No. 122)
Symmetry-distinct sites (fractional):
Cd1 0.000 0.000 0.000 (multiplicity 4)
Co1 0.000 0.000 0.500 (multiplicity 4)
N1 0.169 0.750 0.625 (multiplicity 8)

Calculated values
Energy relative to the elements, uncorrected   396.5 meV/atom
Total moment   0.0 μB per formula unit
Raw total energy   -6.10 eV per atom
Mass density   6.84 Mg/m³

=====

No. 7
Density functional theory data (GGA-PBEsol) for crystalline KReN2O at its relaxed geometry.

a = 3.891 Å, b = 3.891 Å, c = 3.962 Å
α = 90.00°, β = 90.00°, γ = 90.00°
Space group P4/mmm (No. 123)
Symmetry-distinct sites (fractional):
K1 0.000 0.000 0.000 (multiplicity 1)
Re1 0.500 0.500 0.500 (multiplicity 1)
N1 0.000 0.500 0.500 (multiplicity 2)
O1 0.500 0.500 0.000 (multiplicity 1)

Calculated values
Energy relative to the elements, uncorrected   -539.5 meV/atom
Total moment   0.0 μB per formula unit
Raw total energy   -7.89 eV per atom
Mass density   7.45 Mg/m³

=====

No. 8
Density functional theory data (GGA-PBEsol) for crystalline Cs2TaH at its relaxed geometry.

a = 8.430 Å, b = 8.430 Å, c = 8.430 Å
α = 90.00°, β = 90.00°, γ = 90.00°
Space group Fm-3m (No. 225)
Symmetry-distinct sites (fractional):
Cs1 0.250 0.250 0.250 (multiplicity 8)
Ta1 0.000 0.000 0.000 (multiplicity 4)
H1 0.000 0.000 0.500 (multiplicity 4)

Calculated values
Total moment   4.0 μB per formula unit
Raw total energy   -2.72 eV per atom
Mass density   4.96 Mg/m³

=====

No. 9
Density functional theory data (GGA-PBEsol) for crystalline AlZn2Rh at its relaxed geometry.

a = 3.718 Å, b = 3.718 Å, c = 7.792 Å
α = 90.00°, β = 90.00°, γ = 90.00°
Space group I-4m2 (No. 119)
Symmetry-distinct sites (fractional):
Al1 0.000 0.000 0.000 (multiplicity 2)
Zn1 0.000 0.000 0.500 (multiplicity 2)
Zn2 0.000 0.500 0.250 (multiplicity 2)
Rh1 0.000 0.500 0.750 (multiplicity 2)

Calculated values
Total moment   0.0 μB per formula unit
Raw total energy   -4.31 eV per atom
Mass density   8.04 Mg/m³

=====

No. 10
Density functional theory data (GGA-PBEsol) for crystalline Ba11In6O3 at its relaxed geometry.

a = 15.330 Å, b = 15.330 Å, c = 11.071 Å
α = 90.00°, β = 90.00°, γ = 90.00°
Space group I4/mcm (No. 140)
Symmetry-distinct sites (fractional):
Ba1 0.000 0.000 0.000 (multiplicity 4)
Ba2 0.125 0.375 0.202 (multiplicity 16)
Ba3 0.126 0.126 0.250 (multiplicity 16)
Ba4 0.230 0.270 0.500 (multiplicity 8)
In1 0.000 0.241 0.000 (multiplicity 16)
In2 0.066 0.434 0.500 (multiplicity 8)
O1 0.000 0.000 0.250 (multiplicity 4)
O2 0.250 0.250 0.250 (multiplicity 8)

Calculated values
Energy relative to the elements, uncorrected   -1051.0 meV/atom
Total moment   0.0 μB per formula unit
Raw total energy   -3.92 eV per atom
Mass density   5.74 Mg/m³

=====

No. 11
Density functional theory data (GGA-PBEsol) for crystalline Ba3LiCo at its relaxed geometry.

a = 5.992 Å, b = 5.992 Å, c = 5.992 Å
α = 90.00°, β = 90.00°, γ = 90.00°
Space group Pm-3m (No. 221)
Symmetry-distinct sites (fractional):
Ba1 0.000 0.000 0.500 (multiplicity 3)
Li1 0.000 0.000 0.000 (multiplicity 1)
Co1 0.500 0.500 0.500 (multiplicity 1)

Calculated values
Total moment   0.9 μB per formula unit
Raw total energy   -2.27 eV per atom
Mass density   3.69 Mg/m³

=====

No. 12
Density functional theory data (GGA-PBEsol) for crystalline LiTa2P at its relaxed geometry.

a = 9.509 Å, b = 3.121 Å, c = 4.363 Å
α = 90.00°, β = 113.82°, γ = 90.00°
Space group Cm (No. 8)
Symmetry-distinct sites (fractional):
Li1 0.000 0.000 0.000 (multiplicity 2)
Ta1 0.221 0.000 0.750 (multiplicity 2)
Ta2 0.436 0.000 0.434 (multiplicity 2)
P1 0.208 0.500 0.252 (multiplicity 2)

Calculated values
Total moment   0.0 μB per formula unit
Raw total energy   -8.29 eV per atom
Mass density   11.21 Mg/m³

=====

No. 13
Density functional theory data (GGA-PBEsol) for crystalline Li2NiP2O7 at its relaxed geometry.

a = 4.909 Å, b = 8.096 Å, c = 7.033 Å
α = 90.00°, β = 108.92°, γ = 90.00°
Space group P2_1 (No. 4)
Symmetry-distinct sites (fractional):
Li1 0.153 0.000 0.412 (multiplicity 2)
Li2 0.339 0.328 0.850 (multiplicity 2)
Ni1 0.294 0.686 0.780 (multiplicity 2)
P1 0.106 0.000 0.982 (multiplicity 2)
P2 0.290 0.391 0.413 (multiplicity 2)
O1 0.079 0.496 0.880 (multiplicity 2)
O2 0.105 0.521 0.247 (multiplicity 2)
O3 0.116 0.233 0.403 (multiplicity 2)
O4 0.265 0.836 0.995 (multiplicity 2)
O5 0.304 0.149 0.016 (multiplicity 2)
O6 0.333 0.481 0.612 (multiplicity 2)
O7 0.419 0.863 0.619 (multiplicity 2)

Calculated values
Energy relative to the elements, uncorrected   -2030.9 meV/atom
Total moment   2.0 μB per formula unit
Raw total energy   -6.90 eV per atom
Energy above the lowest structure with this stoichiometry   0.007 eV per atom
Mass density   3.10 Mg/m³

=====

No. 14
Density functional theory data (GGA-PBEsol) for crystalline YCd2 at its relaxed geometry.

a = 8.201 Å, b = 8.201 Å, c = 8.201 Å
α = 90.00°, β = 90.00°, γ = 90.00°
Space group Fd-3m (No. 227, origin choice 2)
Symmetry-distinct sites (fractional):
Y1 0.125 0.125 0.125 (multiplicity 8)
Cd1 0.000 0.000 0.500 (multiplicity 16)

Calculated values
Total moment   0.0 μB per formula unit
Raw total energy   -3.40 eV per atom
Mass density   7.56 Mg/m³

=====

No. 15
Density functional theory data (GGA-PBEsol) for crystalline ScBeTl at its relaxed geometry.

a = 3.112 Å, b = 3.112 Å, c = 11.249 Å
α = 90.00°, β = 90.00°, γ = 90.00°
Space group I4mm (No. 107)
Symmetry-distinct sites (fractional):
Sc1 0.000 0.000 0.000 (multiplicity 2)
Be1 0.000 0.000 0.353 (multiplicity 2)
Tl1 0.000 0.000 0.706 (multiplicity 2)

Calculated values
Total moment   0.3 μB per formula unit
Raw total energy   -4.30 eV per atom
Energy above the lowest structure with this stoichiometry   0.000 eV per atom
Mass density   7.87 Mg/m³

=====

No. 16
Density functional theory data (GGA-PBEsol) for crystalline CoTcAs3 at its relaxed geometry.

a = 4.714 Å, b = 4.714 Å, c = 4.714 Å
α = 90.00°, β = 90.00°, γ = 90.00°
Space group Pm-3m (No. 221)
Symmetry-distinct sites (fractional):
Co1 0.000 0.000 0.000 (multiplicity 1)
Tc1 0.500 0.500 0.500 (multiplicity 1)
As1 0.000 0.500 0.500 (multiplicity 3)

Calculated values
Total moment   1.5 μB per formula unit
Raw total energy   -5.82 eV per atom
Mass density   6.05 Mg/m³

=====

No. 17
Density functional theory data (GGA-PBEsol) for crystalline Cr2CdCu at its relaxed geometry.

a = 3.657 Å, b = 3.657 Å, c = 4.223 Å
α = 90.00°, β = 90.00°, γ = 90.00°
Space group P4/mmm (No. 123)
Symmetry-distinct sites (fractional):
Cr1 0.000 0.500 0.000 (multiplicity 2)
Cd1 0.000 0.000 0.500 (multiplicity 1)
Cu1 0.500 0.500 0.500 (multiplicity 1)

Calculated values
Total moment   0.0 μB per formula unit
Raw total energy   -6.06 eV per atom
Mass density   8.23 Mg/m³

=====

No. 18
Density functional theory data (GGA-PBEsol) for crystalline Li2SiAg at its relaxed geometry.

a = 2.7937 Å, b = 2.7937 Å, c = 26.5363 Å
α = 90.00°, β = 90.00°, γ = 120.00°
Space group R-3m (No. 166, hexagonal axes)
Symmetry-distinct sites (fractional):
Li1 0.0000 0.0000 0.2469 (multiplicity 6)
Si1 0.0000 0.0000 0.5000 (multiplicity 3)
Ag1 0.0000 0.0000 0.0000 (multiplicity 3)

Calculated values
Energy relative to the elements, uncorrected   -96.9 meV/atom
Total moment   0.0 μB per formula unit
Raw total energy   -3.34 eV per atom
Mass density   4.16 Mg/m³

=====

No. 19
Density functional theory data (GGA-PBEsol) for crystalline ZrCrOs2 at its relaxed geometry.

a = 5.396 Å, b = 8.678 Å, c = 2.738 Å
α = 90.00°, β = 112.23°, γ = 90.00°
Space group C2/m (No. 12)
Symmetry-distinct sites (fractional):
Zr1 0.000 0.000 0.000 (multiplicity 2)
Cr1 0.000 0.500 0.000 (multiplicity 2)
Os1 0.250 0.250 0.500 (multiplicity 4)

Calculated values
Total moment   0.0 μB per formula unit
Raw total energy   -10.75 eV per atom
Mass density   14.65 Mg/m³

=====

No. 20
Density functional theory data (GGA-PBEsol) for crystalline ZrOs2Rh at its relaxed geometry.

a = 3.899 Å, b = 3.899 Å, c = 8.032 Å
α = 90.00°, β = 90.00°, γ = 90.00°
Space group I4/mmm (No. 139)
Symmetry-distinct sites (fractional):
Zr1 0.000 0.000 0.000 (multiplicity 2)
Os1 0.000 0.500 0.250 (multiplicity 4)
Rh1 0.000 0.000 0.500 (multiplicity 2)

Calculated values
Total moment   0.0 μB per formula unit
Raw total energy   -10.52 eV per atom
Energy above the lowest structure with this stoichiometry   0.126 eV per atom
Mass density   15.63 Mg/m³

=====

No. 21
Density functional theory data (GGA-PBEsol) for crystalline Ca3Si4Ir4 at its relaxed geometry.

a = 7.400 Å, b = 7.400 Å, c = 7.400 Å
α = 90.00°, β = 90.00°, γ = 90.00°
Space group I-43m (No. 217)
Symmetry-distinct sites (fractional):
Ca1 0.000 0.000 0.500 (multiplicity 6)
Si1 0.184 0.184 0.184 (multiplicity 8)
Ir1 0.138 0.138 0.862 (multiplicity 8)

Calculated values
Energy relative to the elements, uncorrected   -889.2 meV/atom
Total moment   0.0 μB per formula unit
Raw total energy   -7.13 eV per atom
Mass density   8.21 Mg/m³

=====

No. 22
Density functional theory data (GGA-PBEsol) for crystalline KZnIr at its relaxed geometry.

a = 6.375 Å, b = 6.375 Å, c = 6.375 Å
α = 90.00°, β = 90.00°, γ = 90.00°
Space group F-43m (No. 216)
Symmetry-distinct sites (fractional):
K1 0.000 0.000 0.000 (multiplicity 4)
Zn1 0.250 0.250 0.250 (multiplicity 4)
Ir1 0.000 0.000 0.500 (multiplicity 4)

Calculated values
Total moment   0.0 μB per formula unit
Raw total energy   -3.14 eV per atom
Energy above the lowest structure with this stoichiometry   0.528 eV per atom
Mass density   7.61 Mg/m³

=====

No. 23
Density functional theory data (GGA-PBEsol) for crystalline KCr2Tc at its relaxed geometry.

a = 3.748 Å, b = 3.748 Å, c = 9.572 Å
α = 90.00°, β = 90.00°, γ = 90.00°
Space group I-4m2 (No. 119)
Symmetry-distinct sites (fractional):
K1 0.000 0.000 0.000 (multiplicity 2)
Cr1 0.000 0.000 0.500 (multiplicity 2)
Cr2 0.000 0.500 0.750 (multiplicity 2)
Tc1 0.000 0.500 0.250 (multiplicity 2)

Calculated values
Total moment   1.7 μB per formula unit
Raw total energy   -6.49 eV per atom
Energy above the lowest structure with this stoichiometry   0.857 eV per atom
Mass density   5.96 Mg/m³

=====

No. 24
Density functional theory data (GGA-PBEsol) for crystalline BaNbO3 at its relaxed geometry.

a = 4.107 Å, b = 4.107 Å, c = 4.107 Å
α = 90.00°, β = 90.00°, γ = 90.00°
Space group Pm-3m (No. 221)
Symmetry-distinct sites (fractional):
Ba1 0.000 0.000 0.000 (multiplicity 1)
Nb1 0.500 0.500 0.500 (multiplicity 1)
O1 0.000 0.500 0.500 (multiplicity 3)

Calculated values
Energy relative to the elements, uncorrected   -2821.0 meV/atom
Total moment   0.0 μB per formula unit
Raw total energy   -8.56 eV per atom
Mass density   6.67 Mg/m³

=====

No. 25
Density functional theory data (GGA-PBEsol) for crystalline ZnOs2Pt at its relaxed geometry.

a = 3.794 Å, b = 3.794 Å, c = 7.786 Å
α = 90.00°, β = 90.00°, γ = 90.00°
Space group I4/mmm (No. 139)
Symmetry-distinct sites (fractional):
Zn1 0.000 0.000 0.000 (multiplicity 2)
Os1 0.000 0.500 0.250 (multiplicity 4)
Pt1 0.000 0.000 0.500 (multiplicity 2)

Calculated values
Total moment   0.0 μB per formula unit
Raw total energy   -7.98 eV per atom
Mass density   18.99 Mg/m³

=====

No. 26
Density functional theory data (GGA-PBEsol) for crystalline Be2CuPt2 at its relaxed geometry.

a = 6.493 Å, b = 6.493 Å, c = 2.729 Å
α = 90.00°, β = 90.00°, γ = 90.00°
Space group P4/mbm (No. 127)
Symmetry-distinct sites (fractional):
Be1 0.130 0.370 0.000 (multiplicity 4)
Cu1 0.000 0.000 0.000 (multiplicity 2)
Pt1 0.165 0.665 0.500 (multiplicity 4)

Calculated values
Total moment   0.0 μB per formula unit
Raw total energy   -5.79 eV per atom
Mass density   13.62 Mg/m³